First-principles (SCAN) data for a crystal of Be2SiRh relaxed with PBEsol, as listed in the Alexandria database.

Properties
- total magnetic moment (μB/cell) = 0.0
- raw formation energy (eV/f.u.) = -1.99
- relative energy among the computed polymorphs (meV/atom) = 19

a = 4.2980 Å, b = 4.2980 Å, c = 4.2980 Å
α = 132.71°, β = 132.71°, γ = 69.11°
Fractional positions:
1 Be 0.2500 0.7500 0.5000
2 Be 0.7500 0.2500 0.5000
3 Si 0.0000 0.0000 0.0000
4 Rh 0.5000 0.5000 0.0000

***

First-principles (SCAN) data for a crystal of BeSiRh relaxed with PBEsol, as listed in the Alexandria database.

Properties
- total magnetic moment (μB/cell) = 0.0
- raw formation energy (eV/f.u.) = -2.04
- relative energy among the computed polymorphs (meV/atom) = 0

a = 4.2832 Å, b = 4.2832 Å, c = 4.2832 Å
α = 141.71°, β = 135.63°, γ = 60.02°
Fractional positions:
1 Be 0.0000 0.0000 0.0000
2 Si 0.3338 0.3338 0.0000
3 Rh 0.6648 0.6648 0.0000